# KBaCa2 GGA-PBE optimized geometry
data_KBaCa2
_chemical_formula_sum 'K2 Ba2 Ca4'
_cell_length_a 5.873
_cell_length_b 5.873
_cell_length_c 12.275
_cell_angle_alpha 90.00
_cell_angle_beta 90.00
_cell_angle_gamma 90.00
_space_group_name_H-M_alt 'I 4/m m m'
_space_group_IT_number 139
_space_group_name_Hall '-I 4 2'
loop_
_atom_site_label
_atom_site_type_symbol
_atom_site_fract_x
_atom_site_fract_y
_atom_site_fract_z
K1 K 0.000 0.000 0.000
Ba1 Ba 0.000 0.000 0.500
Ca1 Ca 0.000 0.500 0.250
# E_form = 58 kJ/mol of formula units
# DOS at the Fermi energy = 8.167 states/eV per cell
# energy above the most stable polymorph in this dataset = 58.8 meV/atom
# total magnetic moment = 0.0000 μB per atom
# E = -12.842 eV per cell